(1)
The following is a DFT calculation (GGA-PBE) of an optimized crystal structure of Li7Pb4Au.

Calculated total energy   -2.79 eV/atom
Formation energy from the elements   -168 meV per atom
ρ   6.48 g/cm³
Crystal system   monoclinic

abc: 7.3243 7.3243 10.3118
angles: 125.92 125.92 39.50
Fractional coordinates of all 12 atoms:
Li (0.0000, 0.0000, 0.0000)
Li (0.1344, 0.1344, 0.5732)
Li (0.2822, 0.2822, 0.1420)
Li (0.4436, 0.4436, 0.7055)
Li (0.5564, 0.5564, 0.2945)
Li (0.7178, 0.7178, 0.8580)
Li (0.8656, 0.8656, 0.4268)
Pb (0.0764, 0.0764, 0.7956)
Pb (0.2085, 0.2085, 0.3610)
Pb (0.7915, 0.7915, 0.6390)
Pb (0.9236, 0.9236, 0.2044)
Au (0.5000, 0.5000, 0.0000)


(2)
The following is a DFT calculation (GGA-PBE) of an optimized crystal structure of CsSc5S8.

Uncorrected formation energy   -1.891 eV/atom
Calculated total energy   -6.57 eV/atom
ρ   3.12 g/cm³
Crystal system   monoclinic

abc: 9.7830 9.7830 9.3856
angles: 104.35 104.35 22.11
Fractional coordinates of all 14 atoms:
Cs (0.0000, 0.0000, 0.0000)
Sc (0.1574, 0.1574, 0.4666)
Sc (0.2052, 0.2052, 0.8412)
Sc (0.5000, 0.5000, 0.5000)
Sc (0.7948, 0.7948, 0.1588)
Sc (0.8426, 0.8426, 0.5334)
S (0.0780, 0.0780, 0.6504)
S (0.2653, 0.2653, 0.3463)
S (0.3303, 0.3303, 0.0125)
S (0.4148, 0.4148, 0.6744)
S (0.5852, 0.5852, 0.3256)
S (0.6697, 0.6697, 0.9875)
S (0.7347, 0.7347, 0.6537)
S (0.9220, 0.9220, 0.3496)


(3)
The following is a DFT calculation (GGA-PBE) of an optimized crystal structure of RbCa2MgGe.

Calculated total energy   -2.00 eV/atom
Formation energy from the elements   236 meV per atom
ρ   2.19 g/cm³
Crystal system   tetragonal

abc: 6.1554 6.1554 5.2435
angles: 90.00 90.00 90.00
Fractional coordinates of all 5 atoms:
Rb (0.0000, 0.0000, 0.0000)
Ca (0.0000, 0.5000, 0.5000)
Ca (0.5000, 0.0000, 0.5000)
Mg (0.5000, 0.5000, 0.5000)
Ge (0.5000, 0.5000, 0.0000)


(4)
The following is a DFT calculation (GGA-PBE) of an optimized crystal structure of Y8Tl2Tc.

Calculated total energy   -6.24 eV/atom
Formation energy from the elements   -168 meV per atom
ρ   6.45 g/cm³
Crystal system   monoclinic

abc: 9.2895 9.2895 7.0129
angles: 110.63 110.63 33.86
Fractional coordinates of all 11 atoms:
Y (0.0149, 0.0149, 0.2829)
Y (0.1955, 0.1955, 0.7719)
Y (0.3537, 0.3537, 0.5640)
Y (0.4074, 0.4074, 0.0827)
Y (0.5926, 0.5926, 0.9173)
Y (0.6463, 0.6463, 0.4360)
Y (0.8045, 0.8045, 0.2281)
Y (0.9851, 0.9851, 0.7171)
Tl (0.1810, 0.1810, 0.1998)
Tl (0.8190, 0.8190, 0.8002)
Tc (0.5000, 0.5000, 0.5000)


(5)
The following is a DFT calculation (GGA-PBE) of an optimized crystal structure of CaCrW2.

Calculated total energy   -8.51 eV/atom
Formation energy from the elements   877 meV per atom
ρ   10.79 g/cm³
Crystal system   orthorhombic

abc: 3.2148 4.4712 4.9246
angles: 90.00 90.00 90.00
Fractional coordinates of all 4 atoms:
Ca (0.0000, 0.0000, 0.0000)
Cr (0.5000, 0.5000, 0.0000)
W (0.0000, 0.5000, 0.5000)
W (0.5000, 0.0000, 0.5000)


(6)
The following is a DFT calculation (GGA-PBE) of an optimized crystal structure of La2Ga2Sb.

Uncorrected formation energy   -0.709 eV/atom
Calculated total energy   -4.71 eV/atom
ρ   6.67 g/cm³
Crystal system   tetragonal

abc: 7.6684 7.6684 4.5662
angles: 90.00 90.00 90.00
Fractional coordinates of all 10 atoms:
La (0.1749, 0.3251, 0.0000)
La (0.3251, 0.8251, 0.0000)
La (0.6749, 0.1749, 0.0000)
La (0.8251, 0.6749, 0.0000)
Ga (0.1210, 0.6210, 0.5000)
Ga (0.3790, 0.1210, 0.5000)
Ga (0.6210, 0.8790, 0.5000)
Ga (0.8790, 0.3790, 0.5000)
Sb (0.0000, 0.0000, 0.5000)
Sb (0.5000, 0.5000, 0.5000)


(7)
The following is a DFT calculation (GGA-PBE) of an optimized crystal structure of Rb2NaPbF6.

Uncorrected formation energy   -2.514 eV/atom
Calculated total energy   -4.33 eV/atom
ρ   4.53 g/cm³
Crystal system   cubic

abc: 6.4411 6.4411 6.4411
angles: 60.00 60.00 60.00
Fractional coordinates of all 10 atoms:
Rb (0.2500, 0.2500, 0.2500)
Rb (0.7500, 0.7500, 0.7500)
Na (0.0000, 0.0000, 0.0000)
Pb (0.5000, 0.5000, 0.5000)
F (0.2520, 0.2520, 0.7480)
F (0.2520, 0.7480, 0.2520)
F (0.2520, 0.7480, 0.7480)
F (0.7480, 0.2520, 0.2520)
F (0.7480, 0.2520, 0.7480)
F (0.7480, 0.7480, 0.2520)


(8)
The following is a DFT calculation (GGA-PBE) of an optimized crystal structure of Ti6Au2C.

Calculated total energy   -7.33 eV/atom
Formation energy from the elements   -316 meV per atom
ρ   8.11 g/cm³
Crystal system   orthorhombic

abc: 3.0930 7.2602 7.2602
angles: 119.51 90.00 90.00
Fractional coordinates of all 9 atoms:
Ti (0.0000, 0.0000, 0.0000)
Ti (0.0000, 0.5464, 0.7556)
Ti (0.0000, 0.7556, 0.5464)
Ti (0.5000, 0.1274, 0.7691)
Ti (0.5000, 0.3411, 0.3411)
Ti (0.5000, 0.7691, 0.1274)
Au (0.0000, 0.0924, 0.4400)
Au (0.0000, 0.4400, 0.0924)
C (0.5000, 0.7959, 0.7959)


(9)
The following is a DFT calculation (GGA-PBE) of an optimized crystal structure of KPuAu2.

Calculated total energy   -5.69 eV/atom
Formation energy from the elements   -191 meV per atom
ρ   8.88 g/cm³
Crystal system   trigonal

abc: 4.1716 4.1716 25.2133
angles: 90.00 90.00 120.00
Fractional coordinates of all 12 atoms:
K (0.0000, 0.0000, 0.0000)
K (0.3333, 0.6667, 0.6667)
K (0.6667, 0.3333, 0.3333)
Pu (0.0000, 0.0000, 0.1687)
Pu (0.3333, 0.6667, 0.8354)
Pu (0.6667, 0.3333, 0.5021)
Au (0.0000, 0.0000, 0.5719)
Au (0.0000, 0.0000, 0.7649)
Au (0.3333, 0.6667, 0.2386)
Au (0.3333, 0.6667, 0.4316)
Au (0.6667, 0.3333, 0.0982)
Au (0.6667, 0.3333, 0.9052)


(10)
The following is a DFT calculation (GGA-PBE) of an optimized crystal structure of K2SrSb.

Uncorrected formation energy   -0.162 eV/atom
Calculated total energy   -2.16 eV/atom
ρ   2.79 g/cm³
Crystal system   orthorhombic

abc: 4.1597 5.6667 7.2524
angles: 90.00 90.00 90.00
Fractional coordinates of all 4 atoms:
K (0.0000, 0.0000, 0.2110)
K (0.0000, 0.0000, 0.7890)
Sr (0.5000, 0.5000, 0.5000)
Sb (0.5000, 0.5000, 0.0000)